Compound: Li6Ga12Sn
Source: Alexandria via LeMat-Bulk
Functional: PBE
Structure: relaxed

- VASP energy: -54.08 eV for the cell shown
- Space group: R-3 (148)
- Formation energy from the elements: -119 meV per atom

a = 7.599 Å, b = 7.599 Å, c = 7.599 Å
α = 108.34°, β = 108.34°, γ = 108.34°
Element x y z (fractional)
Li: 0.118 0.840 0.763
Li: 0.160 0.237 0.882
Li: 0.237 0.882 0.160
Li: 0.763 0.118 0.840
Li: 0.840 0.763 0.118
Li: 0.882 0.160 0.237
Ga: 0.112 0.493 0.175
Ga: 0.146 0.475 0.643
Ga: 0.175 0.112 0.493
Ga: 0.357 0.854 0.525
Ga: 0.475 0.643 0.146
Ga: 0.493 0.175 0.112
Ga: 0.507 0.825 0.888
Ga: 0.525 0.357 0.854
Ga: 0.643 0.146 0.475
Ga: 0.825 0.888 0.507
Ga: 0.854 0.525 0.357
Ga: 0.888 0.507 0.825
Sn: 0.500 0.500 0.500

Compound: Li3GaSn3
Source: Alexandria via LeMat-Bulk
Functional: PBE
Structure: relaxed

- VASP energy: -44.95 eV for the cell shown
- Space group: C2/m (12)
- Energy above the most stable polymorph in this dataset: 0 meV/atom
- Formation energy from the elements: -243 meV per atom

a = 6.585 Å, b = 6.585 Å, c = 6.597 Å
α = 90.49°, β = 90.49°, γ = 89.49°
Element x y z (fractional)
Li: 0.219 0.781 0.000
Li: 0.223 0.223 0.028
Li: 0.256 0.744 0.500
Li: 0.744 0.256 0.500
Li: 0.777 0.777 0.972
Li: 0.781 0.219 0.000
Ga: 0.014 0.014 0.705
Ga: 0.986 0.986 0.295
Sn: 0.012 0.487 0.736
Sn: 0.487 0.012 0.736
Sn: 0.493 0.493 0.764
Sn: 0.507 0.507 0.236
Sn: 0.513 0.988 0.264
Sn: 0.988 0.513 0.264

Compound: LiGa6Sn
Source: Alexandria via LeMat-Bulk
Functional: PBE
Structure: relaxed

- VASP energy: -24.36 eV for the cell shown
- Space group: C2/m (12)
- Formation energy from the elements: -35 meV per atom

a = 4.454 Å, b = 4.454 Å, c = 8.339 Å
α = 97.58°, β = 97.58°, γ = 103.15°
Element x y z (fractional)
Li: 0.000 0.000 0.000
Ga: 0.053 0.053 0.660
Ga: 0.229 0.601 0.157
Ga: 0.399 0.771 0.843
Ga: 0.601 0.229 0.157
Ga: 0.771 0.399 0.843
Ga: 0.947 0.947 0.340
Sn: 0.500 0.500 0.500

Compound: Li2Ga3Sn
Source: Alexandria via LeMat-Bulk
Functional: PBE
Structure: relaxed

- VASP energy: -36.11 eV for the cell shown
- Space group: Fmmm (69)
- Energy above the most stable polymorph in this dataset: 0 meV/atom
- Formation energy from the elements: -191 meV per atom

a = 9.357 Å, b = 8.806 Å, c = 5.453 Å
α = 78.14°, β = 67.08°, γ = 34.77°
Element x y z (fractional)
Li: 0.247 0.753 0.753
Li: 0.250 0.250 0.250
Li: 0.750 0.750 0.750
Li: 0.753 0.247 0.247
Ga: 0.181 0.664 0.336
Ga: 0.336 0.819 0.181
Ga: 0.338 0.338 0.662
Ga: 0.662 0.662 0.338
Ga: 0.664 0.181 0.819
Ga: 0.819 0.336 0.664
Sn: 0.168 0.168 0.832
Sn: 0.832 0.832 0.168